[1]
Compound: Y2GaPt6
Source: Alexandria via LeMat-Bulk
Functional: PBE
Structure: relaxed

abc: 5.595 5.595 6.286
angles: 101.94 101.94 60.41
Sites, in units of the cell vectors:
Y (0.146, 0.146, 0.361)
Y (0.854, 0.854, 0.639)
Ga (0.500, 0.500, 0.500)
Pt (0.108, 0.626, 0.188)
Pt (0.374, 0.892, 0.812)
Pt (0.378, 0.378, 0.808)
Pt (0.622, 0.622, 0.192)
Pt (0.626, 0.108, 0.188)
Pt (0.892, 0.374, 0.812)

Computed properties:
The space group is C2/m, No. 12. Its electronic total energy is -6.79 eV per atom. The calculation puts the density of states at the Fermi level at 0.38 states/eV/atom. The calculation puts the formation enthalpy at 0 K at -0.992 eV/atom.


[2]
Compound: La11Tb9Ho4
Source: Alexandria via LeMat-Bulk
Functional: PBE
Structure: relaxed

abc: 15.617 15.617 3.702
angles: 90.00 90.00 113.00
Sites, in units of the cell vectors:
La (0.000, 0.000, 0.000)
La (0.043, 0.404, 0.000)
La (0.160, 0.840, 0.000)
La (0.293, 0.293, 0.000)
La (0.369, 0.631, 0.000)
La (0.404, 0.043, 0.000)
La (0.596, 0.957, 0.000)
La (0.631, 0.369, 0.000)
La (0.707, 0.707, 0.000)
La (0.840, 0.160, 0.000)
La (0.957, 0.596, 0.000)
Tb (0.069, 0.214, 0.500)
Tb (0.166, 0.631, 0.500)
Tb (0.214, 0.069, 0.500)
Tb (0.369, 0.834, 0.500)
Tb (0.500, 0.500, 0.500)
Tb (0.631, 0.166, 0.500)
Tb (0.786, 0.931, 0.500)
Tb (0.834, 0.369, 0.500)
Tb (0.931, 0.786, 0.500)
Ho (0.241, 0.445, 0.500)
Ho (0.445, 0.241, 0.500)
Ho (0.555, 0.759, 0.500)
Ho (0.759, 0.555, 0.500)

Computed properties:
The space group is Cmmm, No. 65. Its electronic total energy is -4.69 eV per atom. The calculation puts the density of states at the Fermi level at 1.48 states/eV/atom. The calculation puts the formation enthalpy at 0 K at 0.068 eV/atom.